VASP calculation (PBE-GGA) on a relaxed structure of Er3Cd2Hg3.

Output
ΔE to the lowest computed polymorph (meV per atom): 59
Energy of formation (meV per atom): -295
Mass density (g/cm³): 10.9
Magnetic moment (μB/f.u.): 0.00

a b c (Å): 7.890 7.890 3.752
angles (deg): 90.00 90.00 120.00
Positions (direct):
1 Er 0.000 0.634 0.000
2 Er 0.366 0.366 0.000
3 Er 0.634 0.000 0.000
4 Cd 0.333 0.667 0.500
5 Cd 0.667 0.333 0.500
6 Hg 0.000 0.253 0.500
7 Hg 0.253 0.000 0.500
8 Hg 0.747 0.747 0.500


VASP calculation (PBE-GGA) on a relaxed structure of Er2CdHg6.

Output
ΔE to the lowest computed polymorph (meV per atom): 0
Energy of formation (meV per atom): -258
Mass density (g/cm³): 12.9
Magnetic moment (μB/f.u.): 0.00

a b c (Å): 5.093 5.093 9.375
angles (deg): 92.50 92.50 61.11
Positions (direct):
1 Er 0.162 0.162 0.271
2 Er 0.838 0.838 0.729
3 Cd 0.500 0.500 0.500
4 Hg 0.168 0.168 0.602
5 Hg 0.168 0.168 0.932
6 Hg 0.495 0.495 0.167
7 Hg 0.505 0.505 0.833
8 Hg 0.832 0.832 0.068
9 Hg 0.832 0.832 0.398


VASP calculation (PBE-GGA) on a relaxed structure of ErCdHg6.

Output
ΔE to the lowest computed polymorph (meV per atom): 0
Energy of formation (meV per atom): -138
Mass density (g/cm³): 12.8
Magnetic moment (μB/f.u.): 0.00

a b c (Å): 4.682 4.682 8.799
angles (deg): 90.00 90.00 90.00
Positions (direct):
1 Er 0.000 0.000 0.000
2 Cd 0.000 0.000 0.500
3 Hg 0.000 0.500 0.251
4 Hg 0.000 0.500 0.749
5 Hg 0.500 0.000 0.251
6 Hg 0.500 0.000 0.749
7 Hg 0.500 0.500 0.000
8 Hg 0.500 0.500 0.500


VASP calculation (PBE-GGA) on a relaxed structure of Er12Cd5Hg2.

Output
Energy of formation (meV per atom): -160
Mass density (g/cm³): 9.5
Magnetic moment (μB/f.u.): 0.00

a b c (Å): 8.109 8.109 8.225
angles (deg): 100.31 100.31 79.97
Positions (direct):
1 Er 0.086 0.086 0.203
2 Er 0.130 0.659 0.108
3 Er 0.141 0.516 0.693
4 Er 0.341 0.870 0.892
5 Er 0.374 0.374 0.354
6 Er 0.484 0.859 0.307
7 Er 0.516 0.141 0.693
8 Er 0.626 0.626 0.646
9 Er 0.659 0.130 0.108
10 Er 0.859 0.484 0.307
11 Er 0.870 0.341 0.892
12 Er 0.914 0.914 0.797
13 Cd 0.128 0.128 0.597
14 Cd 0.257 0.257 0.972
15 Cd 0.500 0.500 0.000
16 Cd 0.743 0.743 0.028
17 Cd 0.872 0.872 0.403
18 Hg 0.245 0.755 0.500
19 Hg 0.755 0.245 0.500


VASP calculation (PBE-GGA) on a relaxed structure of Er4CdHg.

Output
Energy of formation (meV per atom): -14
Mass density (g/cm³): 8.8
Magnetic moment (μB/f.u.): 0.00

a b c (Å): 5.061 5.061 7.207
angles (deg): 90.00 90.00 90.00
Positions (direct):
1 Er 0.000 0.500 0.247
2 Er 0.000 0.500 0.753
3 Er 0.500 0.000 0.247
4 Er 0.500 0.000 0.753
5 Cd 0.000 0.000 0.500
6 Hg 0.500 0.500 0.000


VASP calculation (PBE-GGA) on a relaxed structure of Er2Cd2Hg.

Output
ΔE to the lowest computed polymorph (meV per atom): 0
Energy of formation (meV per atom): -276
Mass density (g/cm³): 10.3
Magnetic moment (μB/f.u.): 0.00

a b c (Å): 8.001 8.001 3.410
angles (deg): 90.00 90.00 145.74
Positions (direct):
1 Er 0.111 0.889 0.000
2 Er 0.889 0.111 0.000
3 Cd 0.300 0.700 0.500
4 Cd 0.700 0.300 0.500
5 Hg 0.500 0.500 0.500


VASP calculation (PBE-GGA) on a relaxed structure of Er2Cd2Hg.

Output
ΔE to the lowest computed polymorph (meV per atom): 118
Energy of formation (meV per atom): -158
Mass density (g/cm³): 9.7
Magnetic moment (μB/f.u.): 0.00

a b c (Å): 8.304 8.304 8.304
angles (deg): 135.70 62.26 138.57
Positions (direct):
1 Er 0.177 0.172 0.349
2 Er 0.323 0.672 0.994
3 Er 0.677 0.328 0.006
4 Er 0.823 0.828 0.651
5 Cd 0.100 0.642 0.742
6 Cd 0.400 0.142 0.542
7 Cd 0.600 0.858 0.458
8 Cd 0.900 0.358 0.258
9 Hg 0.250 0.250 0.000
10 Hg 0.750 0.750 0.000


VASP calculation (PBE-GGA) on a relaxed structure of Er2Cd5Hg12.

Output
ΔE to the lowest computed polymorph (meV per atom): 0
Energy of formation (meV per atom): -95
Mass density (g/cm³): 11.6
Magnetic moment (μB/f.u.): 0.00

a b c (Å): 10.170 10.170 5.371
angles (deg): 103.80 103.80 62.06
Positions (direct):
1 Er 0.236 0.764 0.000
2 Er 0.764 0.236 0.000
3 Cd 0.000 0.000 0.500
4 Cd 0.203 0.203 0.616
5 Cd 0.301 0.301 0.197
6 Cd 0.699 0.699 0.803
7 Cd 0.797 0.797 0.384
8 Hg 0.087 0.533 0.807
9 Hg 0.111 0.111 0.060
10 Hg 0.153 0.646 0.394
11 Hg 0.354 0.847 0.606
12 Hg 0.446 0.446 0.716
13 Hg 0.467 0.913 0.193
14 Hg 0.533 0.087 0.807
15 Hg 0.554 0.554 0.284
16 Hg 0.646 0.153 0.394
17 Hg 0.847 0.354 0.606
18 Hg 0.889 0.889 0.940
19 Hg 0.913 0.467 0.193


VASP calculation (PBE-GGA) on a relaxed structure of ErCd2InHg4.

Output
Energy of formation (meV per atom): -27
Mass density (g/cm³): 9.8
Magnetic moment (μB/f.u.): 0.00

a b c (Å): 4.309 4.309 11.897
angles (deg): 90.00 90.00 90.00
Positions (direct):
1 Er 0.000 0.000 0.000
2 Cd 0.500 0.500 0.379
3 Cd 0.500 0.500 0.621
4 In 0.000 0.000 0.500
5 Hg 0.000 0.500 0.188
6 Hg 0.000 0.500 0.812
7 Hg 0.500 0.000 0.188
8 Hg 0.500 0.000 0.812


VASP calculation (PBE-GGA) on a relaxed structure of ErCdInHg.

Output
ΔE to the lowest computed polymorph (meV per atom): 0
Energy of formation (meV per atom): -325
Mass density (g/cm³): 10.3
Magnetic moment (μB/f.u.): 0.00

a b c (Å): 4.255 4.744 4.750
angles (deg): 90.00 90.00 90.00
Positions (direct):
1 Er 0.000 0.000 0.000
2 Cd 0.000 0.500 0.500
3 In 0.500 0.000 0.500
4 Hg 0.500 0.500 0.000


VASP calculation (PBE-GGA) on a relaxed structure of Er4Cd2InHg.

Output
Energy of formation (meV per atom): -394
Mass density (g/cm³): 9.8
Magnetic moment (μB/f.u.): 0.00

a b c (Å): 9.088 9.088 9.088
angles (deg): 33.53 33.53 33.53
Positions (direct):
1 Er 0.123 0.123 0.123
2 Er 0.374 0.374 0.374
3 Er 0.626 0.626 0.626
4 Er 0.877 0.877 0.877
5 Cd 0.248 0.248 0.248
6 Cd 0.752 0.752 0.752
7 In 0.500 0.500 0.500
8 Hg 0.000 0.000 0.000